1.
Compound: Sr2TlGe2
Source: the Alexandria database
Functional: GGA-PBE
Structure: optimized geometry

Computed properties:
- Total magnetic moment: 0.00 μB/f.u.
- Space-group type: I4/mmm, No. 139
- Formation enthalpy at 0 K: -0.1757 eV per atom

Cell: 5.3491 5.3491 7.0404 Å, 67.67 67.67 90.00°
Last column: nearest neighbours and their distance in Å.
Element x y z (fractional)
Sr1 0.2500 0.7500 0.5000  4 Ge 3.22
Tl1 0.0000 0.0000 0.0000  8 Ge 3.96, 8 Sr 4.00
Ge1 0.4009 0.4009 0.1982  1 Ge 2.35
Sr2 0.7500 0.2500 0.5000  4 Ge 3.22
Ge2 0.5991 0.5991 0.8018  1 Ge 2.35

---

2.
Compound: Mg3IO
Source: the Alexandria database
Functional: GGA-PBE
Structure: optimized geometry

Computed properties:
- E_form (uncorrected): -619 meV per atom
- Total magnetic moment: 0.00 μB/f.u.
- Space-group type: Pm-3m, No. 221
- Energy above the most stable polymorph in this dataset: 0 meV per atom

Cell: 4.6710 4.6710 4.6710 Å, 90.00 90.00 90.00°
Last column: nearest neighbours and their distance in Å.
Element x y z (fractional)
Mg1 0.0000 0.5000 0.0000  2 O 2.34
Mg2 0.0000 0.0000 0.5000  2 O 2.34
O1 0.0000 0.0000 0.0000  6 Mg 2.34
I1 0.5000 0.5000 0.5000  12 Mg 3.30
Mg3 0.5000 0.0000 0.0000  2 O 2.34

---

3.
Compound: KNa3H8Pd2
Source: the Alexandria database
Functional: GGA-PBE
Structure: optimized geometry

Computed properties:
- Total magnetic moment: 0.00 μB/f.u.
- Space-group type: P-3m1, No. 164

Cell: 5.0202 5.0202 8.9926 Å, 90.00 90.00 120.00°
Last column: nearest neighbours and their distance in Å.
Element x y z (fractional)
H1 0.8405 0.6810 0.7476  1 Pd 1.69
H2 0.6667 0.3333 0.0180  1 Pd 1.68
Na1 0.0000 0.0000 0.0000  12 H 2.66-2.90
Na2 0.3333 0.6667 0.7536  1 H 2.05
H3 0.1595 0.3190 0.2524  1 Pd 1.69
K1 0.0000 0.0000 0.5000  6 H 2.62
Pd1 0.3333 0.6667 0.1686  4 H 1.68-1.69
H4 0.3333 0.6667 0.9820  1 Pd 1.68
Na3 0.6667 0.3333 0.2464  1 H 2.05
H5 0.3190 0.1595 0.7476  1 Pd 1.69
H6 0.8405 0.1595 0.7476  1 Pd 1.69
H7 0.1595 0.8405 0.2524  1 Pd 1.69
Pd2 0.6667 0.3333 0.8314  4 H 1.68-1.69
H8 0.6810 0.8405 0.2524  1 Pd 1.69

---

4.
Compound: AcSO5
Source: the Alexandria database
Functional: GGA-PBE
Structure: optimized geometry

Computed properties:
- E_form (uncorrected): -1966 meV per atom
- Total magnetic moment: 1.00 μB/f.u.
- Space-group type: Cm, No. 8

Cell: 5.0408 6.7790 5.0214 Å, 42.30 59.87 68.17°
Last column: nearest neighbours and their distance in Å.
Element x y z (fractional)
Ac1 0.9067 0.7975 0.3891  12 O 2.67-2.95
O1 0.5702 0.7103 0.1493  1 S 1.49
O2 0.2494 0.2820 0.7356  1 S 1.48
O3 0.7330 0.2820 0.7356  1 S 1.48
O4 0.2350 0.7921 0.7379  3 Ac 2.85-2.93, 3 O 2.92-2.93
O5 0.7339 0.2841 0.2480  1 S 1.48
S1 0.5717 0.3826 0.4739  4 O 1.48-1.49

---

5.
Compound: SrZnF3
Source: the Alexandria database
Functional: GGA-PBE
Structure: optimized geometry

Computed properties:
- E_form (uncorrected): -2923 meV per atom
- Total magnetic moment: 0.00 μB/f.u.
- Space-group type: Ama2, No. 40
- Energy above the most stable polymorph in this dataset: 0 meV per atom

Cell: 3.7897 4.2681 10.1697 Å, 102.11 90.00 90.00°
Last column: nearest neighbours and their distance in Å.
Element x y z (fractional)
F1 0.7500 0.7774 0.2185  2 Zn 2.28, 2 Sr 2.49-2.52
Zn1 0.2500 0.7572 0.0917  3 F 2.12-2.28
F2 0.7500 0.9214 0.4964  4 Sr 2.43-2.58
Sr1 0.2500 0.9976 0.6496  8 F 2.43-2.58
F3 0.7500 0.0589 0.8107  1 Zn 2.12
F4 0.2500 0.2483 0.1893  1 Zn 2.12
F5 0.2500 0.4250 0.5036  4 Sr 2.43-2.58
F6 0.2500 0.5590 0.7815  2 Zn 2.28, 2 Sr 2.49-2.52
Zn2 0.7500 0.6654 0.9083  3 F 2.12-2.28
Sr2 0.7500 0.3480 0.3504  8 F 2.43-2.58

---

6.
Compound: Nd6Ho2Tm3Mg
Source: the Alexandria database
Functional: GGA-PBE
Structure: optimized geometry

Computed properties:
- Total magnetic moment: 0.00 μB/f.u.
- Space-group type: C2/m, No. 12
- Formation enthalpy at 0 K: 0.0229 eV per atom

Cell: 6.2135 6.2135 11.7292 Å, 95.08 95.08 120.04°
Last column: nearest neighbours and their distance in Å.
Element x y z (fractional)
Ho1 0.6666 0.3334 0.0000  6 Nd 3.55-3.56, 3 Mg 3.59, 3 Ho 3.59
Tm1 0.8335 0.1665 0.5000  6 Nd 3.54-3.56, 6 Tm 3.58-3.59
Tm2 0.1665 0.8335 0.5000  6 Nd 3.54-3.56, 6 Tm 3.58-3.59
Nd1 0.9171 0.5844 0.7502  1 Mg 3.55, 2 Ho 3.55, 3 Tm 3.55-3.56, 6 Nd 3.58-3.59
Nd2 0.7501 0.7501 0.2507  3 Tm 3.54-3.55, 2 Ho 3.56, 1 Mg 3.56, 6 Nd 3.58-3.59
Tm3 0.5000 0.5000 0.5000  6 Nd 3.55, 6 Tm 3.58-3.59
Nd3 0.0829 0.4156 0.2498  1 Mg 3.55, 2 Ho 3.55, 3 Tm 3.55-3.56, 6 Nd 3.58-3.59
Nd4 0.4156 0.0829 0.2498  1 Mg 3.55, 2 Ho 3.55, 3 Tm 3.55-3.56, 6 Nd 3.58-3.59
Nd5 0.2499 0.2499 0.7493  3 Tm 3.54-3.55, 2 Ho 3.56, 1 Mg 3.56, 6 Nd 3.58-3.59
Mg1 0.0000 0.0000 0.0000  6 Nd 3.55-3.56, 6 Ho 3.59
Nd6 0.5844 0.9171 0.7502  1 Mg 3.55, 2 Ho 3.55, 3 Tm 3.55-3.56, 6 Nd 3.58-3.59
Ho2 0.3334 0.6666 0.0000  6 Nd 3.55-3.56, 3 Mg 3.59, 3 Ho 3.59

---

7.
Compound: AcAl3Pt
Source: the Alexandria database
Functional: GGA-PBE
Structure: optimized geometry

Computed properties:
- Total magnetic moment: 0.00 μB/f.u.
- Space-group type: Pnma, No. 62
- Formation enthalpy at 0 K: -0.7415 eV per atom
- Energy above the most stable polymorph in this dataset: 73 meV per atom

Cell: 4.3645 8.6142 11.3666 Å, 90.00 90.00 90.00°
Last column: nearest neighbours and their distance in Å.
Element x y z (fractional)
Al1 0.2500 0.5556 0.0842  3 Pt 2.63, 1 Al 2.74
Al2 0.7500 0.6232 0.2875  2 Pt 2.48-2.54
Ac1 0.7500 0.8157 0.0135  10 Al 3.23-3.61, 2 Pt 3.41
Ac2 0.2500 0.6843 0.5135  10 Al 3.23-3.61, 2 Pt 3.41
Ac3 0.2500 0.1843 0.9865  10 Al 3.23-3.61, 2 Pt 3.41
Ac4 0.7500 0.3157 0.4865  10 Al 3.23-3.61, 2 Pt 3.41
Al3 0.7500 0.1232 0.2125  2 Pt 2.48-2.54
Al4 0.2500 0.0556 0.4158  3 Pt 2.63, 1 Al 2.74
Pt1 0.7500 0.4051 0.1457  7 Al 2.48-2.66
Pt2 0.7500 0.9051 0.3543  7 Al 2.48-2.66
Al5 0.7500 0.6396 0.7253  2 Pt 2.66, 1 Al 2.74
Pt3 0.2500 0.0949 0.6457  7 Al 2.48-2.66
Al6 0.2500 0.8768 0.7875  2 Pt 2.48-2.54
Al7 0.2500 0.3768 0.7125  2 Pt 2.48-2.54
Al8 0.7500 0.9444 0.5842  3 Pt 2.63, 1 Al 2.74
Al9 0.7500 0.1396 0.7747  2 Pt 2.66, 1 Al 2.74
Al10 0.2500 0.8604 0.2253  2 Pt 2.66, 1 Al 2.74
Al11 0.2500 0.3604 0.2747  2 Pt 2.66, 1 Al 2.74
Pt4 0.2500 0.5949 0.8543  7 Al 2.48-2.66
Al12 0.7500 0.4444 0.9158  3 Pt 2.63, 1 Al 2.74

---

8.
Compound: BePbBr2
Source: the Alexandria database
Functional: GGA-PBE
Structure: optimized geometry

Computed properties:
- E_form (uncorrected): -426 meV per atom
- Total magnetic moment: 0.00 μB/f.u.
- Space-group type: R-3m, No. 166
- Energy above the most stable polymorph in this dataset: 0 meV per atom

Cell: 12.4864 12.4864 12.4864 Å, 15.89 15.89 15.89°
Last column: nearest neighbours and their distance in Å.
Element x y z (fractional)
Pb1 0.2500 0.2500 0.2500  6 Pb 3.45
Br1 0.0460 0.0460 0.0460  3 Be 2.42
Be1 0.7500 0.7500 0.7500  6 Br 2.42
Br2 0.4540 0.4540 0.4540  3 Be 2.42

---

9.
Compound: KAcTe2
Source: the Alexandria database
Functional: GGA-PBE
Structure: optimized geometry

Computed properties:
- E_form (uncorrected): -1497 meV per atom
- Total magnetic moment: 0.00 μB/f.u.
- Space-group type: R-3m, No. 166
- Energy above the most stable polymorph in this dataset: 0 meV per atom

Cell: 4.8486 4.8486 8.7312 Å, 73.88 73.88 60.00°
Last column: nearest neighbours and their distance in Å.
Element x y z (fractional)
Te1 0.2590 0.2590 0.2230  3 Ac 3.35, 3 K 3.62
Ac1 0.0000 0.0000 0.0000  6 Te 3.35
Te2 0.7410 0.7410 0.7770  3 Ac 3.35, 3 K 3.62
K1 0.5000 0.5000 0.5000  6 Te 3.62

---

10.
Compound: MgRhCl2
Source: the Alexandria database
Functional: GGA-PBE
Structure: optimized geometry

Computed properties:
- E_form (uncorrected): -368 meV per atom
- Total magnetic moment: 1.01 μB/f.u.
- Space-group type: Immm, No. 71
- Energy above the most stable polymorph in this dataset: 291 meV per atom

Cell: 5.1284 5.1284 5.1284 Å, 142.13 109.93 82.51°
Last column: nearest neighbours and their distance in Å.
Element x y z (fractional)
Cl1 0.9928 0.9928 0.0000  2 Mg 2.51, 2 Rh 2.59
Rh1 0.2500 0.7500 0.5000  4 Cl 2.59
Mg1 0.7500 0.2500 0.5000  4 Cl 2.51
Cl2 0.5072 0.5072 0.0000  2 Mg 2.51, 2 Rh 2.59

---

11.
Compound: Zn4SnPb
Source: the Alexandria database
Functional: GGA-PBE
Structure: optimized geometry

Computed properties:
- Total magnetic moment: 0.00 μB/f.u.
- Space-group type: F-43m, No. 216
- Formation enthalpy at 0 K: 0.1261 eV per atom

Cell: 5.5762 5.5762 5.5762 Å, 60.00 60.00 60.00°
Last column: nearest neighbours and their distance in Å.
Element x y z (fractional)
Zn1 0.1245 0.6252 0.6252  6 Zn 2.78-2.79
Zn2 0.6252 0.1245 0.6252  6 Zn 2.78-2.79
Zn3 0.6252 0.6252 0.6252  6 Zn 2.78-2.79
Sn1 0.0000 0.0000 0.0000  12 Zn 3.27, 4 Pb 3.41
Pb1 0.2500 0.2500 0.2500  12 Zn 3.27, 4 Sn 3.41
Zn4 0.6252 0.6252 0.1245  6 Zn 2.78-2.79

---

12.
Compound: Ca4Sb2O
Source: the Alexandria database
Functional: GGA-PBE
Structure: optimized geometry

Computed properties:
- E_form (uncorrected): -1631 meV per atom
- Total magnetic moment: 0.00 μB/f.u.
- Space-group type: I4/mmm, No. 139
- Energy above the most stable polymorph in this dataset: 0 meV per atom

Cell: 4.7116 4.7116 8.8410 Å, 74.55 74.55 90.00°
Last column: nearest neighbours and their distance in Å.
Element x y z (fractional)
O1 0.0000 0.0000 0.0000  4 Ca 2.36
Ca1 0.1652 0.1652 0.6695  1 O 2.71
Ca2 0.5000 0.0000 0.0000  2 O 2.36
Sb1 0.6395 0.6395 0.7210  9 Ca 3.20-3.36
Sb2 0.3605 0.3605 0.2790  9 Ca 3.20-3.36
Ca3 0.0000 0.5000 0.0000  2 O 2.36
Ca4 0.8348 0.8348 0.3305  1 O 2.71

---

Total DFT energy (no corrections): -0.1164 -0.1057 -0.1082 -0.2456 -0.1704 -0.1608 -0.1844 -0.1147 -0.1606 -0.1296 -0.0738 -0.1713 (Ha/atom)